Entry 1:
## PrGdNiPd (PBE-GGA)

Data for a relaxed PrGdNiPd crystal.

Results
For the formation energy, the calculation gives -1.99 eV/f.u. As for the space group: F-43m, No. 216. The calculated volume is 22.28 A^3/atom. As for the density of states at the Fermi level: 15.958 states/eV per cell.

Unit cell a=7.0906 b=7.0906 c=7.0906 alpha=90.00 beta=90.00 gamma=90.00
Closest atoms and distances in Å follow each position.
Atoms (fractional coordinates):
Pr  0.0000  0.0000  0.0000  4 Ni 3.07, 4 Pd 3.07
Pr  0.0000  0.5000  0.5000  4 Ni 3.07, 4 Pd 3.07
Pr  0.5000  0.0000  0.5000  4 Ni 3.07, 4 Pd 3.07
Pr  0.5000  0.5000  0.0000  4 Ni 3.07, 4 Pd 3.07
Gd  0.0000  0.0000  0.5000  4 Ni 3.07, 4 Pd 3.07
Gd  0.0000  0.5000  0.0000  4 Ni 3.07, 4 Pd 3.07
Gd  0.5000  0.0000  0.0000  4 Ni 3.07, 4 Pd 3.07
Gd  0.5000  0.5000  0.5000  4 Ni 3.07, 4 Pd 3.07
Ni  0.2500  0.2500  0.2500  4 Gd 3.07, 4 Pr 3.07
Ni  0.2500  0.7500  0.7500  4 Gd 3.07, 4 Pr 3.07
Ni  0.7500  0.2500  0.7500  4 Gd 3.07, 4 Pr 3.07
Ni  0.7500  0.7500  0.2500  4 Gd 3.07, 4 Pr 3.07
Pd  0.2500  0.2500  0.7500  4 Gd 3.07, 4 Pr 3.07
Pd  0.2500  0.7500  0.2500  4 Gd 3.07, 4 Pr 3.07
Pd  0.7500  0.2500  0.2500  4 Gd 3.07, 4 Pr 3.07
Pd  0.7500  0.7500  0.7500  4 Gd 3.07, 4 Pr 3.07

Entry 2:
## BeAlAs2 (PBE-GGA)

Data for a relaxed BeAlAs2 crystal.

Results
For the formation energy, the calculation gives -0.06 eV/f.u. Its energy relative to the lowest polymorph listed for this composition is 154 meV/atom. As for the space group: Amm2, No. 38. The calculated volume is 18.26 A^3/atom. As for the density of states at the Fermi level: 1.170 states/eV per cell.

Unit cell a=4.7999 b=4.6911 c=6.4871 alpha=90.00 beta=90.00 gamma=90.00
Closest atoms and distances in Å follow each position.
Atoms (fractional coordinates):
Be  0.0000  0.0000  0.0000  5 As 2.40-2.61
Be  0.0000  0.5000  0.5000  5 As 2.40-2.61
Al  0.5000  0.0000  0.2173  5 As 2.42-2.60
Al  0.5000  0.5000  0.7173  5 As 2.42-2.60
As  0.0000  0.0000  0.3706  3 Be 2.40-2.49, 2 Al 2.60
As  0.0000  0.5000  0.8706  3 Be 2.40-2.49, 2 Al 2.60
As  0.5000  0.0000  0.8438  3 Al 2.42-2.48, 2 Be 2.61
As  0.5000  0.5000  0.3438  3 Al 2.42-2.48, 2 Be 2.61

Entry 3:
## TiBiNO2 (PBE-GGA)

Data for a relaxed TiBiNO2 crystal.

Results
As for the space group: P4/mmm, No. 123. The calculated volume is 12.41 A^3/atom. As for the density of states at the Fermi level: 0.076 states/eV per cell. The total energy comes out at -7.380 eV/atom.

Unit cell a=3.8544 b=3.8544 c=4.1774 alpha=90.00 beta=90.00 gamma=90.00
Closest atoms and distances in Å follow each position.
Atoms (fractional coordinates):
Ti  0.0000  0.0000  0.0000  4 O 1.93, 2 N 2.09
Bi  0.5000  0.5000  0.5000  4 N 2.73, 8 O 2.84
N  0.0000  0.0000  0.5000  2 Ti 2.09
O  0.0000  0.5000  0.0000  2 Ti 1.93
O  0.5000  0.0000  0.0000  2 Ti 1.93

Entry 4:
## Tl3Cl (PBE-GGA)

Data for a relaxed Tl3Cl crystal.

Results
Its energy relative to the lowest polymorph listed for this composition is 49 meV/atom. As for the space group: P6_3/mmc, No. 194. The calculated volume is 30.94 A^3/atom. As for the density of states at the Fermi level: 2.587 states/eV per cell.

Unit cell a=6.8325 b=6.8325 c=6.1219 alpha=90.00 beta=90.00 gamma=120.00
Closest atoms and distances in Å follow each position.
Atoms (fractional coordinates):
Tl  0.1678  0.3355  0.2500  8 Tl 3.39-3.65, 4 Cl 3.42-3.63
Tl  0.1678  0.8322  0.2500  8 Tl 3.39-3.65, 4 Cl 3.42-3.63
Tl  0.3355  0.1678  0.7500  8 Tl 3.39-3.65, 4 Cl 3.42-3.63
Tl  0.6645  0.8322  0.2500  8 Tl 3.39-3.65, 4 Cl 3.42-3.63
Tl  0.8322  0.1678  0.7500  8 Tl 3.39-3.65, 4 Cl 3.42-3.63
Tl  0.8322  0.6645  0.7500  8 Tl 3.39-3.65, 4 Cl 3.42-3.63
Cl  0.3333  0.6667  0.7500  12 Tl 3.42-3.63
Cl  0.6667  0.3333  0.2500  12 Tl 3.42-3.63

Entry 5:
## EuGdTh2 (PBE-GGA)

Data for a relaxed EuGdTh2 crystal.

Results
For the formation energy, the calculation gives 0.60 eV/f.u. Its energy relative to the lowest polymorph listed for this composition is 0 meV/atom. As for the space group: P4/mmm, No. 123. The calculated volume is 33.04 A^3/atom. As for the density of states at the Fermi level: 5.689 states/eV per cell.

Unit cell a=5.0600 b=5.0600 c=5.1613 alpha=90.00 beta=90.00 gamma=90.00
Closest atoms and distances in Å follow each position.
Atoms (fractional coordinates):
Eu  0.0000  0.0000  0.0000  4 Gd 3.58, 8 Th 3.61
Gd  0.5000  0.5000  0.0000  4 Eu 3.58, 8 Th 3.61
Th  0.0000  0.5000  0.5000  4 Th 3.58, 4 Gd 3.61, 4 Eu 3.61
Th  0.5000  0.0000  0.5000  4 Th 3.58, 4 Gd 3.61, 4 Eu 3.61

Entry 6:
## Mg3ZnRe (PBE-GGA)

Data for a relaxed Mg3ZnRe crystal.

Results
For the formation energy, the calculation gives 5.58 eV/f.u. Its energy relative to the lowest polymorph listed for this composition is 48 meV/atom. As for the space group: Pm-3m, No. 221. The calculated volume is 21.49 A^3/atom. As for the density of states at the Fermi level: 2.900 states/eV per cell.

Unit cell a=4.7538 b=4.7538 c=4.7538 alpha=90.00 beta=90.00 gamma=90.00
Closest atoms and distances in Å follow each position.
Atoms (fractional coordinates):
Mg  0.0000  0.0000  0.5000  2 Zn 2.38
Mg  0.0000  0.5000  0.0000  2 Zn 2.38
Mg  0.5000  0.0000  0.0000  2 Zn 2.38
Zn  0.0000  0.0000  0.0000  6 Mg 2.38
Re  0.5000  0.5000  0.5000  12 Mg 3.36

Entry 7:
## K2NaSiPb (PBE-GGA)

Data for a relaxed K2NaSiPb crystal.

Results
As for the space group: P4/mmm, No. 123. The calculated volume is 50.55 A^3/atom. As for the density of states at the Fermi level: 3.318 states/eV per cell. The total energy comes out at -2.222 eV/atom.

Unit cell a=6.9880 b=6.9880 c=5.1761 alpha=90.00 beta=90.00 gamma=90.00
Closest atoms and distances in Å follow each position.
Atoms (fractional coordinates):
K  0.0000  0.5000  0.0000  2 Pb 3.49
K  0.5000  0.0000  0.0000  2 Pb 3.49
Na  0.0000  0.0000  0.5000  8 K 4.35
Si  0.5000  0.5000  0.5000  2 Pb 2.59
Pb  0.5000  0.5000  0.0000  2 Si 2.59

Entry 8:
## AcGaRh (PBE-GGA)

Data for a relaxed AcGaRh crystal.

Results
For the formation energy, the calculation gives -1.31 eV/f.u. Its energy relative to the lowest polymorph listed for this composition is 303 meV/atom. As for the space group: R3m, No. 160. The calculated volume is 28.65 A^3/atom. As for the density of states at the Fermi level: 7.379 states/eV per cell.

Unit cell a=4.3476 b=4.3476 c=15.7502 alpha=90.00 beta=90.00 gamma=120.00
Closest atoms and distances in Å follow each position.
Atoms (fractional coordinates):
Ac  0.0000  0.0000  0.0000  3 Rh 3.08, 4 Ga 3.20-3.24
Ac  0.3333  0.6667  0.6667  3 Rh 3.08, 4 Ga 3.20-3.24
Ac  0.6667  0.3333  0.3333  3 Rh 3.08, 4 Ga 3.20-3.24
Ga  0.0000  0.0000  0.7969  3 Rh 2.52
Ga  0.3333  0.6667  0.4636  3 Rh 2.52
Ga  0.6667  0.3333  0.1302  3 Rh 2.52
Rh  0.0000  0.0000  0.4468  3 Ga 2.52
Rh  0.3333  0.6667  0.1135  3 Ga 2.52
Rh  0.6667  0.3333  0.7802  3 Ga 2.52

Entry 9:
## NaNdC2O6 (PBE-GGA)

Data for a relaxed NaNdC2O6 crystal.

Results
Its energy relative to the lowest polymorph listed for this composition is 22 meV/atom. As for the space group: C2/c, No. 15. The calculated volume is 13.68 A^3/atom. As for the density of states at the Fermi level: 0.000 states/eV per cell.

Unit cell a=6.4464 b=6.4464 c=7.1920 alpha=99.85 beta=99.85 gamma=107.08
Closest atoms and distances in Å follow each position.
Atoms (fractional coordinates):
Na  0.0995  0.9005  0.7500  6 O 2.49-2.79
Na  0.9005  0.0995  0.2500  6 O 2.49-2.79
Nd  0.4172  0.5828  0.2500  8 O 2.36-2.63
Nd  0.5828  0.4172  0.7500  8 O 2.36-2.63
C  0.1276  0.4138  0.7555  3 O 1.28-1.32
C  0.4138  0.1276  0.2555  3 O 1.28-1.32
C  0.5862  0.8724  0.7445  3 O 1.28-1.32
C  0.8724  0.5862  0.2445  3 O 1.28-1.32
O  0.0417  0.5189  0.2649  1 C 1.28
O  0.1458  0.2509  0.6347  1 C 1.29
O  0.2509  0.1458  0.1347  1 C 1.29
O  0.2996  0.5214  0.9041  1 C 1.32
O  0.4786  0.7004  0.5959  1 C 1.32
O  0.4811  0.9583  0.2351  1 C 1.28
O  0.5189  0.0417  0.7649  1 C 1.28
O  0.5214  0.2996  0.4041  1 C 1.32
O  0.7004  0.4786  0.0959  1 C 1.32
O  0.7491  0.8542  0.8653  1 C 1.29
O  0.8542  0.7491  0.3653  1 C 1.29
O  0.9583  0.4811  0.7351  1 C 1.28

Entry 10:
## CdPb2Br (PBE-GGA)

Data for a relaxed CdPb2Br crystal.

Results
Its energy relative to the lowest polymorph listed for this composition is 73 meV/atom. As for the space group: Cmmm, No. 65. The calculated volume is 28.87 A^3/atom. As for the density of states at the Fermi level: 6.560 states/eV per cell.

Unit cell a=8.1095 b=8.1202 c=3.5076 alpha=90.00 beta=90.00 gamma=90.00
Closest atoms and distances in Å follow each position.
Atoms (fractional coordinates):
Cd  0.0000  0.0000  0.0000  8 Pb 3.36, 2 Cd 3.51
Cd  0.5000  0.5000  0.0000  8 Pb 3.36, 2 Cd 3.51
Pb  0.2500  0.2500  0.5000  4 Cd 3.36, 4 Br 3.36, 2 Pb 3.51
Pb  0.2500  0.7500  0.5000  4 Cd 3.36, 4 Br 3.36, 2 Pb 3.51
Pb  0.7500  0.2500  0.5000  4 Cd 3.36, 4 Br 3.36, 2 Pb 3.51
Pb  0.7500  0.7500  0.5000  4 Cd 3.36, 4 Br 3.36, 2 Pb 3.51
Br  0.0000  0.5000  0.0000  8 Pb 3.36, 2 Br 3.51
Br  0.5000  0.0000  0.0000  8 Pb 3.36, 2 Br 3.51